# PBE-GGA RbTl2Ga2, relaxed
# formation energy from the elements = 45 meV per atom
# ΔE to the lowest computed polymorph = 102 meV/atom
# crystal system = tetragonal
data_RbTl2Ga2
_symmetry_space_group_name_H-M 'P 1'
_symmetry_Int_Tables_number 1
_cell_length_a 9.108
_cell_length_b 9.108
_cell_length_c 3.508
_cell_angle_alpha 90.00
_cell_angle_beta 90.00
_cell_angle_gamma 90.00
loop_
_symmetry_equiv_pos_as_xyz
'x,y,z'
loop_
_atom_site_label
_atom_site_type_symbol
_atom_site_fract_x
_atom_site_fract_y
_atom_site_fract_z
Rb1 Rb 0.000 0.000 0.000
Rb2 Rb 0.500 0.500 0.000
Tl1 Tl 0.159 0.341 0.500
Tl2 Tl 0.341 0.841 0.500
Tl3 Tl 0.659 0.159 0.500
Tl4 Tl 0.841 0.659 0.500
Ga1 Ga 0.126 0.626 0.000
Ga2 Ga 0.374 0.126 0.000
Ga3 Ga 0.626 0.874 0.000
Ga4 Ga 0.874 0.374 0.000